NaMn2GaO4 (PBE with a Hubbard U, relaxed); E = -52.861 eV/f.u.
1.0
-2.7756 -3.7468 -3.0878
4.3561 -1.0697 3.3403
-1.8053 2.3309 4.7523
O Mn Ga Na
4 2 1 1
Direct
0.5733 0.4135 0.4135
0.0000 0.5865 0.1597
0.0000 0.1597 0.5865
0.4267 0.8403 0.8403
0.5000 0.7500 0.2500
0.5000 0.2500 0.7500
0.0000 0.5000 0.5000
0.0000 0.0000 0.0000